YZn2Cu: relaxed, PBE.

magnetic moment: 0.0 Bohr magnetons per cell
calculated total energy: -3.2807 eV/atom

a = 4.328 Å, b = 4.328 Å, c = 17.683 Å
α = 90.00°, β = 90.00°, γ = 90.00°
Atoms (fractional coordinates):
Y (0.000, 0.000, 0.000)
Y (0.000, 0.500, 0.250)
Y (0.500, 0.000, 0.750)
Y (0.500, 0.500, 0.500)
Zn (0.121, 0.250, 0.625)
Zn (0.250, 0.621, 0.875)
Zn (0.250, 0.879, 0.375)
Zn (0.379, 0.250, 0.125)
Zn (0.621, 0.750, 0.125)
Zn (0.750, 0.121, 0.375)
Zn (0.750, 0.379, 0.875)
Zn (0.879, 0.750, 0.625)
Cu (0.000, 0.000, 0.500)
Cu (0.000, 0.500, 0.750)
Cu (0.500, 0.000, 0.250)
Cu (0.500, 0.500, 0.000)